The following is a PBE calculation of an optimized crystal structure of TbPr4Tl3, from Alexandria via LeMat-Bulk.

Formation energy from the elements   -2.15 eV/f.u.
Total magnetization   0.000 μB/f.u.
DOS at the Fermi energy   8.1 states/eV per cell
Space group   Immm

Cell: 12.172 12.172 12.172 Å, 161.72 153.56 32.33°
Positions (direct):
Tb: 0.000 0.000 0.000
Pr: 0.231 0.231 0.000
Pr: 0.377 0.877 0.500
Pr: 0.623 0.123 0.500
Pr: 0.769 0.769 0.000
Tl: 0.113 0.613 0.500
Tl: 0.500 0.500 0.000
Tl: 0.887 0.387 0.500